The following is a GGA-PBE calculation of crystalline Ca2AgTe at its relaxed geometry, from Alexandria via LeMat-Bulk.

abc: 7.0461 7.0461 8.5356
angles: 65.62 65.62 90.00
Last column: nearest neighbours and their distance in Å.
Positions (direct):
Ca 0.6236 0.1250 0.2500  2 Ag 3.03, 2 Te 3.04
Ca 0.1264 0.6250 0.2500  2 Ag 3.03, 2 Te 3.04
Ca 0.3750 0.3764 0.7500  2 Ag 3.03, 2 Te 3.04
Ca 0.8750 0.8736 0.7500  2 Ag 3.03, 2 Te 3.04
Te 0.0000 0.0000 0.0000  4 Ca 3.04
Te 0.7500 0.2500 0.5000  4 Ca 3.04
Ag 0.5000 0.5000 0.0000  4 Ca 3.03
Ag 0.2500 0.7500 0.5000  4 Ca 3.03

Values from the calculation:
formation energy from raw total energies = -0.480 eV/atom
SG = I-42d (122)
calculated density = 3.05 Mg/m³



The following is a GGA-PBE calculation of crystalline PrHoGaIr at its relaxed geometry, from Alexandria via LeMat-Bulk.

abc: 5.0528 5.0528 5.0528
angles: 60.00 60.00 60.00
Last column: nearest neighbours and their distance in Å.
Positions (direct):
Pr 0.5000 0.5000 0.5000  4 Ir 3.09, 4 Ga 3.09
Ir 0.2500 0.2500 0.2500  4 Pr 3.09, 4 Ho 3.09
Ho 0.0000 0.0000 0.0000  4 Ir 3.09, 4 Ga 3.09
Ga 0.7500 0.7500 0.7500  4 Pr 3.09, 4 Ho 3.09

Values from the calculation:
excess energy over the best structure of this formula in the dataset = 110 meV per atom
E_form = -564 meV/atom
SG = F-43m (216)
calculated density = 10.34 Mg/m³



The following is a GGA-PBE calculation of crystalline LaRe2Ru2 at its relaxed geometry, from Alexandria via LeMat-Bulk.

abc: 4.3348 4.3348 6.0132
angles: 68.87 68.87 90.00
Last column: nearest neighbours and their distance in Å.
Positions (direct):
Re 0.3796 0.3796 0.2409  1 Re 2.49, 4 Ru 2.55
Re 0.6204 0.6204 0.7591  1 Re 2.49, 4 Ru 2.55
Ru 0.7500 0.2500 0.5000  4 Re 2.55
Ru 0.2500 0.7500 0.5000  4 Re 2.55
La 0.0000 0.0000 0.0000  8 Re 3.31, 8 Ru 3.37

Values from the calculation:
excess energy over the best structure of this formula in the dataset = 0 meV per atom
E_form = 105 meV/atom
SG = I4/mmm (139)
calculated density = 12.19 Mg/m³



Spin magnetization for the records above, in order: 0.49; 0.00; 0.00 μB/f.u.